[1]
## TaCoP2 (PBEsol)

Data for a relaxed TaCoP2 crystal.

Lattice parameters (Å, degrees): 4.0989 4.0989 3.0314 90.00 90.00 90.00
Closest atoms and distances in Å follow each position.
Fractional positions:
Ta  0.0000  0.0000  0.0000  8 P 2.55
Co  0.5000  0.5000  0.0000  8 P 2.55
P  0.0000  0.5000  0.5000  4 Ta 2.55, 4 Co 2.55
P  0.5000  0.0000  0.5000  4 Ta 2.55, 4 Co 2.55

Summary:
formation energy from the elements = -0.422 eV/atom
polymorph energy (0 for the lowest one) = 0.0000 eV/atom



[2]
## YBeNO2 (PBEsol)

Data for a relaxed YBeNO2 crystal.

Lattice parameters (Å, degrees): 4.2393 4.2393 4.4518 90.00 90.00 90.00
Closest atoms and distances in Å follow each position.
Fractional positions:
Y  0.0000  0.0000  0.0000  4 O 2.12, 2 N 2.23
Be  0.5000  0.5000  0.5000  4 N 3.00, 8 O 3.07
N  0.0000  0.0000  0.5000  2 Y 2.23
O  0.0000  0.5000  0.0000  2 Y 2.12
O  0.5000  0.0000  0.0000  2 Y 2.12



[3]
## NaCaAu2 (PBEsol)

Data for a relaxed NaCaAu2 crystal.

Lattice parameters (Å, degrees): 4.9541 4.9541 4.9541 60.00 60.00 60.00
Closest atoms and distances in Å follow each position.
Fractional positions:
Na  0.0000  0.0000  0.0000  8 Au 3.03
Ca  0.5000  0.5000  0.5000  8 Au 3.03
Au  0.2500  0.2500  0.2500  4 Na 3.03, 4 Ca 3.03
Au  0.7500  0.7500  0.7500  4 Ca 3.03, 4 Na 3.03

Summary:
formation energy from the elements = -0.501 eV/atom



[4]
## NaSn2Ge2 (PBEsol)

Data for a relaxed NaSn2Ge2 crystal.

Lattice parameters (Å, degrees): 7.4707 7.4707 7.4707 145.89 145.89 49.01
Closest atoms and distances in Å follow each position.
Fractional positions:
Na  0.0000  0.0000  0.0000  8 Sn 3.47
Sn  0.3851  0.3851  0.0000  4 Ge 2.86, 1 Sn 3.12
Sn  0.6149  0.6149  0.0000  4 Ge 2.86, 1 Sn 3.12
Ge  0.2500  0.7500  0.5000  4 Sn 2.86, 4 Ge 3.10
Ge  0.7500  0.2500  0.5000  4 Sn 2.86, 4 Ge 3.10

Summary:
formation energy from the elements = 0.074 eV/atom



[5]
## CdHg8 (PBEsol)

Data for a relaxed CdHg8 crystal.

Lattice parameters (Å, degrees): 7.1085 7.1085 7.1085 95.71 95.71 143.23
Closest atoms and distances in Å follow each position.
Fractional positions:
Cd  0.0000  0.0000  0.0000  12 Hg 3.16-3.17
Hg  0.0000  0.3322  0.3322  1 Cd 3.17, 11 Hg 3.17-3.20
Hg  0.0000  0.6678  0.6678  1 Cd 3.17, 11 Hg 3.17-3.20
Hg  0.3322  0.0000  0.3322  1 Cd 3.17, 11 Hg 3.17-3.20
Hg  0.3350  0.3350  0.6700  10 Hg 3.15-3.21, 2 Cd 3.16
Hg  0.3350  0.6650  0.0000  10 Hg 3.15-3.21, 2 Cd 3.16
Hg  0.6650  0.3350  0.0000  10 Hg 3.15-3.21, 2 Cd 3.16
Hg  0.6650  0.6650  0.3300  10 Hg 3.15-3.21, 2 Cd 3.16
Hg  0.6678  0.0000  0.6678  1 Cd 3.17, 11 Hg 3.17-3.20

Summary:
formation energy from the elements = 0.018 eV/atom



[6]
## BaSb2Au (PBEsol)

Data for a relaxed BaSb2Au crystal.

Lattice parameters (Å, degrees): 4.7571 4.7571 4.8278 90.00 90.00 90.00
Closest atoms and distances in Å follow each position.
Fractional positions:
Ba  0.0000  0.0000  0.0000  4 Au 3.36, 8 Sb 3.39
Sb  0.0000  0.5000  0.5000  4 Sb 3.36, 4 Ba 3.39, 4 Au 3.39
Sb  0.5000  0.0000  0.5000  4 Sb 3.36, 4 Ba 3.39, 4 Au 3.39
Au  0.5000  0.5000  0.0000  4 Ba 3.36, 8 Sb 3.39



[7]
## SiMo2Rh (PBEsol)

Data for a relaxed SiMo2Rh crystal.

Lattice parameters (Å, degrees): 2.7258 4.0984 5.1535 90.00 101.13 90.00
Closest atoms and distances in Å follow each position.
Fractional positions:
Si  0.0000  0.0000  0.0000  2 Rh 2.40, 1 Mo 2.60
Mo  0.3209  0.0000  0.5088  3 Si 2.60-2.83, 4 Mo 2.69-2.73, 4 Rh 2.74-2.76
Mo  0.5799  0.5000  0.2258  4 Mo 2.69-2.73, 3 Rh 2.70-2.76, 4 Si 2.71-2.72
Rh  0.9170  0.5000  0.7532  2 Si 2.40



[8]
## MgZrCo2 (PBEsol)

Data for a relaxed MgZrCo2 crystal.

Lattice parameters (Å, degrees): 5.1329 5.1329 5.1329 143.85 133.25 60.48
Closest atoms and distances in Å follow each position.
Fractional positions:
Mg  0.0000  0.0000  0.0000  6 Co 2.59-2.73, 4 Zr 2.87-2.89
Zr  0.7275  0.2275  0.5000  6 Co 2.59-2.75, 4 Mg 2.87-2.89
Co  0.2501  0.7501  0.5000  2 Co 2.55, 4 Zr 2.59, 2 Mg 2.73
Co  0.4750  0.4750  0.0000  2 Co 2.55, 4 Mg 2.59, 2 Zr 2.75

Summary:
formation energy from the elements = 0.010 eV/atom



Let's list total magnetic moment in order: 0.00, 2.03, 0.00, 0.00, 0.00, 0.00, 0.00, 0.70 μB/f.u..
Let's list E_tot in order: -8.390, -5.955, -3.346, -3.885, -0.619, -4.149, -9.646, -6.561 eV per atom.